# 1
# KCdIN2 (PBE, optimized geometry)
data_KCdIN2
_cell_length_a 4.695
_cell_length_b 4.695
_cell_length_c 6.411
_cell_angle_alpha 90.00
_cell_angle_beta 90.00
_cell_angle_gamma 90.00
_space_group_name_H-M_alt 'P 1'
_space_group_IT_number 1
loop_
_space_group_symop_operation_xyz
'x,y,z'
loop_
_atom_site_label
_atom_site_type_symbol
_atom_site_fract_x
_atom_site_fract_y
_atom_site_fract_z
_atom_site_occupancy
K1 K 0.000 0.000 0.000 1
Cd1 Cd 0.500 0.500 0.500 1
I1 I 0.500 0.500 0.000 1
N1 N 0.000 0.500 0.500 1
N2 N 0.500 0.000 0.500 1
# E above lowest polymorph	0.0	kJ per mole of atoms
# SG	P4/mmm, No. 123
# formation energy from raw total energies	0.977	eV/atom

# 2
# KCdIN2 (PBE, optimized geometry)
data_KCdIN2
_cell_length_a 5.277
_cell_length_b 5.277
_cell_length_c 7.041
_cell_angle_alpha 90.00
_cell_angle_beta 90.00
_cell_angle_gamma 90.00
_space_group_name_H-M_alt 'P 1'
_space_group_IT_number 1
loop_
_space_group_symop_operation_xyz
'x,y,z'
loop_
_atom_site_label
_atom_site_type_symbol
_atom_site_fract_x
_atom_site_fract_y
_atom_site_fract_z
_atom_site_occupancy
K1 K 0.000 0.000 0.000 1
Cd1 Cd 0.500 0.500 0.500 1
I1 I 0.000 0.000 0.500 1
N1 N 0.000 0.500 0.000 1
N2 N 0.500 0.000 0.000 1
# E above lowest polymorph	64.6	kJ per mole of atoms
# SG	P4/mmm, No. 123
# formation energy from raw total energies	1.647	eV/atom

Number 1: calculated density 3.60 g cm⁻³. Number 2: calculated density 2.59 g cm⁻³.